# 1
# TmMg14Cd

A geometry-optimized TmMg14Cd structure (PBE-GGA, Alexandria).

Results
Formation enthalpy at 0 K ... 0.00 eV per atom
M_tot ... 0.0 Bohr magnetons per cell
Mass density ... 2.750 g cm⁻³

Unit cell a=6.584 b=6.584 c=8.658 alpha=90.00 beta=90.00 gamma=90.00
Space group P4/mmm (No. 123)
One atom of each set of equivalent atoms:
Tm1 0.000 0.000 0.000 (multiplicity 1)
Mg1 0.000 0.000 0.500 (multiplicity 1)
Mg2 0.000 0.500 0.000 (multiplicity 2)
Mg3 0.000 0.500 0.500 (multiplicity 2)
Mg4 0.252 0.252 0.254 (multiplicity 8)
Mg5 0.500 0.500 0.500 (multiplicity 1)
Cd1 0.500 0.500 0.000 (multiplicity 1)


# 2
# TmMgCd

A geometry-optimized TmMgCd structure (PBE-GGA, Alexandria).

Results
Formation enthalpy at 0 K ... -0.16 eV per atom
M_tot ... 0.0 Bohr magnetons per cell
Mass density ... 6.936 g cm⁻³

Unit cell a=3.415 b=3.415 c=12.548 alpha=90.00 beta=90.00 gamma=90.00
Space group I4mm (No. 107)
One atom of each set of equivalent atoms:
Tm1 0.000 0.000 0.000 (multiplicity 2)
Mg1 0.000 0.000 0.314 (multiplicity 2)
Cd1 0.000 0.000 0.667 (multiplicity 2)


# 3
# TmMg3Cd2

A geometry-optimized TmMg3Cd2 structure (PBE-GGA, Alexandria).

Results
Formation enthalpy at 0 K ... -0.18 eV per atom
M_tot ... 0.0 Bohr magnetons per cell
Mass density ... 5.605 g cm⁻³
Energy above the most stable polymorph in this dataset ... 0.000 eV/atom

Unit cell a=4.9340 b=4.9340 c=6.5581 alpha=90.00 beta=90.00 gamma=120.00
Space group P-3m1 (No. 164)
One atom of each set of equivalent atoms:
Tm1 0.0000 0.0000 0.0000 (multiplicity 1)
Mg1 0.0000 0.0000 0.5000 (multiplicity 1)
Mg2 0.3333 0.6667 0.7176 (multiplicity 2)
Cd1 0.3333 0.6667 0.2256 (multiplicity 2)


# 4
# TmMg2Cd

A geometry-optimized TmMg2Cd structure (PBE-GGA, Alexandria).

Results
Formation enthalpy at 0 K ... -0.10 eV per atom
M_tot ... 0.0 Bohr magnetons per cell
Mass density ... 5.606 g cm⁻³
Energy above the most stable polymorph in this dataset ... 0.071 eV/atom

Unit cell a=3.319 b=5.027 c=5.936 alpha=90.00 beta=99.38 gamma=90.00
Space group P2/m (No. 10)
One atom of each set of equivalent atoms:
Tm1 0.000 0.000 0.000 (multiplicity 1)
Mg1 0.366 0.500 0.742 (multiplicity 2)
Cd1 0.500 0.000 0.500 (multiplicity 1)


# 5
# Tm3MgCd4

A geometry-optimized Tm3MgCd4 structure (PBE-GGA, Alexandria).

Results
Formation enthalpy at 0 K ... -0.13 eV per atom
M_tot ... 0.0 Bohr magnetons per cell
Mass density ... 7.849 g cm⁻³
Energy above the most stable polymorph in this dataset ... 0.161 eV/atom

Unit cell a=3.391 b=6.225 c=19.659 alpha=90.00 beta=90.00 gamma=90.00
Space group Immm (No. 71)
One atom of each set of equivalent atoms:
Tm1 0.000 0.000 0.000 (multiplicity 2)
Tm2 0.000 0.500 0.236 (multiplicity 4)
Mg1 0.000 0.000 0.500 (multiplicity 2)
Cd1 0.000 0.259 0.377 (multiplicity 8)


# 6
# Tm2MgCd

A geometry-optimized Tm2MgCd structure (PBE-GGA, Alexandria).

Results
Formation enthalpy at 0 K ... -0.19 eV per atom
M_tot ... 0.0 Bohr magnetons per cell
Mass density ... 7.677 g cm⁻³

Unit cell a=5.193 b=5.193 c=3.807 alpha=90.00 beta=90.00 gamma=90.00
Space group P4/mmm (No. 123)
One atom of each set of equivalent atoms:
Tm1 0.000 0.500 0.000 (multiplicity 2)
Mg1 0.000 0.000 0.500 (multiplicity 1)
Cd1 0.500 0.500 0.500 (multiplicity 1)